! BeZn2Au PBE relaxed; values from VASP
! Uncorrected energy: -2.460 eV per atom
&SYSTEM
  ibrav = 0, nat = 16, ntyp = 3
/
ATOMIC_SPECIES
Be 9.01 Be.upf
Zn 65.41 Zn.upf
Au 196.97 Au.upf
CELL_PARAMETERS angstrom
-1.656 5.258 4.999
-4.684 -2.876 1.473
3.206 -4.118 2.155
ATOMIC_POSITIONS crystal
Be 0.000 0.752 0.000
Be 0.000 0.248 0.000
Be 0.000 0.252 0.500
Be 0.000 0.748 0.500
Zn 0.233 0.000 0.367
Zn 0.767 0.000 0.633
Zn 0.233 0.500 0.867
Zn 0.767 0.500 0.133
Zn 0.500 0.250 0.750
Zn 0.500 0.250 0.250
Zn 0.500 0.750 0.250
Zn 0.500 0.750 0.750
Au 0.206 0.000 0.853
Au 0.794 0.000 0.147
Au 0.206 0.500 0.353
Au 0.794 0.500 0.647